Below is Pm3DyEr3Te8 after structural relaxation, with properties calculated at the PBE level.

Results
space-group type = R-3m
uncorrected formation energy = -1.38 eV per atom
magnetic moment = 0.00 μB per cell

Cell: 8.7694 8.7694 8.7694 Å, 59.72 59.72 59.72°
Atoms (fractional coordinates):
1 Pm 0.0000 0.5000 0.5000
2 Pm 0.5000 0.0000 0.5000
3 Pm 0.5000 0.5000 0.0000
4 Dy 0.5000 0.5000 0.5000
5 Er 0.0000 0.0000 0.5000
6 Er 0.0000 0.5000 0.0000
7 Er 0.5000 0.0000 0.0000
8 Te 0.2382 0.7539 0.7539
9 Te 0.2461 0.2461 0.2461
10 Te 0.2461 0.2461 0.7618
11 Te 0.2461 0.7618 0.2461
12 Te 0.7539 0.2382 0.7539
13 Te 0.7539 0.7539 0.2382
14 Te 0.7539 0.7539 0.7539
15 Te 0.7618 0.2461 0.2461